NaDySnWO6, optimized geometry, DFT GGA+U; V = 144.8 Å³/cell; energy = -68.453 eV/cell
1.0
5.2375 0.0809 2.7040
0.3520 1.4607 5.7001
1.3052 -4.1088 4.0204
Na Dy Sn W O
1 1 1 1 6
Direct
0.2500 0.2500 0.2500
0.0000 0.0000 0.0000
0.7500 0.7500 0.7500
0.5000 0.5000 0.5000
0.2666 0.7334 0.2666
0.7334 0.2666 0.7334
0.2666 0.7334 0.7334
0.7334 0.2666 0.2666
0.2666 0.2666 0.7334
0.7334 0.7334 0.2666